A relaxed structure of P2RuWO. Source: Alexandria via LeMat-Bulk, functional PBE with a Hubbard U.

POSCAR file:
```
P2RuWO
1.0
4.874 0.000 0.000
0.000 4.874 0.000
0.000 0.000 3.737
P Ru W O
2 1 1 1
direct
0.000 0.500 0.000
0.500 0.000 0.000
0.000 0.000 0.500
0.500 0.500 0.000
0.500 0.500 0.500
```

Total DFT energy (no corrections), eV per atom: -6.009
N(E_F), states/eV/cell: 6.287
Energy relative to the lowest polymorph listed for this composition, meV per atom: 24